MnV3Cu2P6O24, relaxed, DFT PBE with a Hubbard U; DOS(E_F) = 20.50 states/eV per cell; total energy = -7.188 eV/atom; symmetry = R3, No. 146; total moment = 0.225 μB per atom
1.0
4.306 2.486 6.960
-4.306 2.486 6.960
0.000 -4.972 6.960
Mn V Cu P O
1 3 2 6 24
Cartesian
0.000 0.000 0.000
0.000 0.000 4.493
0.000 0.000 10.455
0.000 0.000 14.943
0.000 0.000 7.493
0.000 0.000 17.927
-3.053 0.300 9.206
-1.241 -2.175 12.681
1.267 -2.794 9.206
-1.264 2.162 12.681
1.787 2.494 9.206
2.504 0.013 12.681
-3.400 1.011 7.921
-0.887 -1.210 5.823
-2.769 -2.275 12.523
-3.509 1.048 10.483
0.824 -3.450 7.921
-1.505 0.082 9.179
-0.604 1.373 5.822
0.847 -3.563 10.483
-0.724 -1.457 11.424
0.681 -1.344 9.179
1.491 -0.163 5.822
-0.804 -1.439 13.968
-0.900 1.356 11.424
-1.482 -0.171 16.270
0.824 1.262 9.179
-0.844 1.416 13.968
1.624 0.101 11.424
-0.586 3.536 12.523
0.889 -1.198 16.270
2.576 2.439 7.921
1.649 0.023 13.968
3.355 -1.261 12.523
0.593 1.369 16.270
2.662 2.515 10.483